# TePbSe2

An optimized crystal structure of TePbSe2 (PBE-GGA, Alexandria via LeMat-Bulk).

Cell: 6.057 6.057 6.380 Å, 90.00 90.00 90.00°
Space group I4/mmm (No. 139)
Symmetry-distinct sites (fractional):
Te  0.000  0.000  0.000
Pb  0.000  0.000  0.500
Se  0.000  0.500  0.000

Results
ΔE_f (raw) = -0.11 eV per atom
Final energy = -28.5 eV for the cell shown
Excess energy over the best structure of this formula in the dataset = 0.1216 eV per atom



# TePbSe2

An optimized crystal structure of TePbSe2 (PBE-GGA, Alexandria via LeMat-Bulk).

Cell: 8.697 4.052 7.677 Å, 90.00 110.07 90.00°
Space group C2/m (No. 12)
Symmetry-distinct sites (fractional):
Te  0.000  0.000  0.000
Pb  0.000  0.000  0.500
Se  0.126  0.500  0.273

Results
ΔE_f (raw) = -0.20 eV per atom
Final energy = -29.2 eV for the cell shown
Excess energy over the best structure of this formula in the dataset = 0.0277 eV per atom



# TePbSe3

An optimized crystal structure of TePbSe3 (PBE-GGA, Alexandria via LeMat-Bulk).

Cell: 18.810 4.021 8.305 Å, 90.00 95.97 90.00°
Space group C2/m (No. 12)
Symmetry-distinct sites (fractional):
Te  0.072  0.000  0.205
Pb  0.228  0.500  0.732
Se  0.017  0.500  0.732
Se  0.151  0.000  0.480
Se  0.176  0.500  0.090

Results
ΔE_f (raw) = -0.10 eV per atom
Final energy = -71.3 eV for the cell shown
Excess energy over the best structure of this formula in the dataset = 0.1196 eV per atom



# TePbSe2

An optimized crystal structure of TePbSe2 (PBE-GGA, Alexandria via LeMat-Bulk).

Cell: 5.709 5.709 17.008 Å, 90.00 90.00 90.00°
Space group I-42d (No. 122)
Symmetry-distinct sites (fractional):
Te  0.000  0.000  0.000
Pb  0.000  0.000  0.500
Se  0.218  0.250  0.125

Results
ΔE_f (raw) = -0.04 eV per atom
Final energy = -56.0 eV for the cell shown
Excess energy over the best structure of this formula in the dataset = 0.1848 eV per atom



# TePbSe2

An optimized crystal structure of TePbSe2 (PBE-GGA, Alexandria via LeMat-Bulk).

Cell: 4.106 4.125 7.157 Å, 90.00 90.00 90.00°
Space group Pmmm (No. 47)
Symmetry-distinct sites (fractional):
Te  0.000  0.000  0.000
Pb  0.000  0.500  0.500
Se  0.500  0.000  0.500
Se  0.500  0.500  0.000

Results
ΔE_f (raw) = -0.02 eV per atom
Final energy = -13.9 eV for the cell shown
Excess energy over the best structure of this formula in the dataset = 0.2100 eV per atom



# Te2PbSe2

An optimized crystal structure of Te2PbSe2 (PBE-GGA, Alexandria via LeMat-Bulk).

Cell: 8.211 8.211 4.145 Å, 90.00 90.00 90.00°
Space group P4/mbm (No. 127)
Symmetry-distinct sites (fractional):
Te  0.172  0.328  0.000
Pb  0.000  0.000  0.500
Se  0.154  0.654  0.500

Results
ΔE_f (raw) = 0.07 eV per atom
Final energy = -33.2 eV for the cell shown
Excess energy over the best structure of this formula in the dataset = 0.1344 eV per atom



# TePbSe2

An optimized crystal structure of TePbSe2 (PBE-GGA, Alexandria via LeMat-Bulk).

Cell: 3.9118 3.9118 28.8009 Å, 90.00 90.00 120.00°
Space group R-3m (No. 166, hexagonal axes)
Symmetry-distinct sites (fractional):
Te  0.0000  0.0000  0.0000
Pb  0.0000  0.0000  0.5000
Se  0.0000  0.0000  0.3942

Results
ΔE_f (raw) = 0.09 eV per atom
Final energy = -40.4 eV for the cell shown
Excess energy over the best structure of this formula in the dataset = 0.3170 eV per atom



# TePbSe

An optimized crystal structure of TePbSe (PBE-GGA, Alexandria via LeMat-Bulk).

Cell: 4.269 4.269 10.666 Å, 90.00 90.00 90.00°
Space group I4mm (No. 107)
Symmetry-distinct sites (fractional):
Te  0.000  0.000  0.000
Pb  0.000  0.000  0.634
Se  0.000  0.000  0.248

Results
ΔE_f (raw) = -0.13 eV per atom
Final energy = -21.5 eV for the cell shown
Excess energy over the best structure of this formula in the dataset = 0.0000 eV per atom